First-principles (PBE) data for crystalline Nb2CrTc at its relaxed geometry, as listed in the Alexandria database.

```
Nb2CrTc
1.0
-3.5044 3.5044 2.7156
3.5044 -3.5044 2.7156
3.5044 3.5044 -2.7156
Nb Cr Tc
4 2 2
Direct
0.1189 0.6250 0.9939 Nb
0.3750 0.3689 0.4939 Nb
0.6311 0.1250 0.0061 Nb
0.8750 0.8811 0.5061 Nb
0.0000 0.0000 0.0000 Cr
0.7500 0.2500 0.5000 Cr
0.2500 0.7500 0.5000 Tc
0.5000 0.5000 0.0000 Tc
```

Output
Its total energy is -75.42 eV per cell. Its space-group type is I-42d, No. 122. The value obtained for the density is 8.36 g cm⁻³. The calculation puts the energy relative to the elements at 604 meV per atom.

First-principles (PBE) data for crystalline NbCr2Tc at its relaxed geometry, as listed in the Alexandria database.

```
NbCr2Tc
1.0
-1.4366 2.1940 4.8655
1.4366 -2.1940 4.8655
1.4366 2.1940 -4.8655
Nb Cr Tc
1 2 1
Direct
0.0000 0.0000 0.0000 Nb
0.2651 0.2651 0.0000 Cr
0.7349 0.7349 0.0000 Cr
0.5000 0.5000 0.0000 Tc
```

Output
Its total energy is -36.79 eV per cell. Its space-group type is Immm, No. 71. The value obtained for the density is 7.98 g cm⁻³. The calculation puts the energy relative to the elements at 724 meV per atom. The polymorph energy (0 for the lowest one) is 0.722 eV/atom.

First-principles (PBE) data for crystalline Nb3CrTc at its relaxed geometry, as listed in the Alexandria database.

```
Nb3CrTc
1.0
4.8068 0.0000 0.0000
0.0000 4.8068 0.0000
0.0000 0.0000 4.8068
Nb Cr Tc
3 1 1
Direct
0.0000 0.0000 0.5000 Nb
0.0000 0.5000 0.0000 Nb
0.5000 0.0000 0.0000 Nb
0.5000 0.5000 0.5000 Cr
0.0000 0.0000 0.0000 Tc
```

Output
Its total energy is -44.01 eV per cell. Its space-group type is Pm-3m, No. 221. The value obtained for the density is 6.41 g cm⁻³. The calculation puts the energy relative to the elements at 1238 meV per atom. The polymorph energy (0 for the lowest one) is 0.168 eV/atom.

First-principles (PBE) data for crystalline NbCr3Tc at its relaxed geometry, as listed in the Alexandria database.

```
NbCr3Tc
1.0
4.4888 0.0000 0.0000
0.0000 4.4888 0.0000
0.0000 0.0000 4.4888
Nb Cr Tc
1 3 1
Direct
0.0000 0.0000 0.0000 Nb
0.0000 0.5000 0.5000 Cr
0.5000 0.0000 0.5000 Cr
0.5000 0.5000 0.0000 Cr
0.5000 0.5000 0.5000 Tc
```

Output
Its total energy is -42.61 eV per cell. Its space-group type is Pm-3m, No. 221. The value obtained for the density is 6.37 g cm⁻³. The calculation puts the energy relative to the elements at 1339 meV per atom. The polymorph energy (0 for the lowest one) is 0.000 eV/atom.

First-principles (PBE) data for crystalline Nb2CrTc at its relaxed geometry, as listed in the Alexandria database.

```
Nb2CrTc
1.0
-1.4807 2.2461 5.0743
1.4807 -2.2461 5.0743
1.4807 2.2461 -5.0743
Nb Cr Tc
2 1 1
Direct
0.2459 0.2459 0.0000 Nb
0.7541 0.7541 0.0000 Nb
0.0000 0.0000 0.0000 Cr
0.5000 0.5000 0.0000 Tc
```

Output
Its total energy is -37.14 eV per cell. Its space-group type is Immm, No. 71. The value obtained for the density is 8.26 g cm⁻³. The calculation puts the energy relative to the elements at 747 meV per atom.

First-principles (PBE) data for crystalline Nb3CrTc2 at its relaxed geometry, as listed in the Alexandria database.

```
Nb3CrTc2
1.0
3.1663 0.0000 0.0000
0.0000 3.1663 0.0000
0.0000 0.0000 9.5122
Nb Cr Tc
3 1 2
Direct
0.0000 0.0000 0.0000 Nb
0.0000 0.0000 0.3385 Nb
0.0000 0.0000 0.6615 Nb
0.5000 0.5000 0.5000 Cr
0.5000 0.5000 0.1683 Tc
0.5000 0.5000 0.8317 Tc
```

Output
Its total energy is -61.90 eV per cell. Its space-group type is P4/mmm, No. 123. The value obtained for the density is 9.17 g cm⁻³. The calculation puts the energy relative to the elements at -223 meV per atom.